No. 1
Compound: Li2CaRh
Source: Alexandria via LeMat-Bulk
Functional: meta-GGA SCAN
Structure: single point on PBEsol structure Values from VASP.

Structure (Quantum ESPRESSO input):
```
&SYSTEM
  ibrav = 0, nat = 4, ntyp = 3
/
ATOMIC_SPECIES
Ca 40.08 Ca.upf
Li 6.94 Li.upf
Rh 102.91 Rh.upf
CELL_PARAMETERS angstrom
3.4561 0.0000 0.0000
0.0000 3.4561 0.0000
0.0000 0.0000 5.8077
ATOMIC_POSITIONS angstrom
Ca 1.7280 1.7280 2.9039
Li 0.0000 0.0000 1.0680
Li 0.0000 0.0000 4.7397
Rh 1.7280 1.7280 0.0000
```

Summary:
As for the calculated volume: 17.343 Å³/atom. For the energy relative to the lowest polymorph listed for this composition, the calculation gives 159 meV per atom. The total moment comes out at 0.00 μB per atom. The electronic total energy comes out at -12.0595 eV per atom.



No. 2
Compound: Cd2ReW
Source: Alexandria via LeMat-Bulk
Functional: meta-GGA SCAN
Structure: single point on PBEsol structure Values from VASP.

Structure (Quantum ESPRESSO input):
```
&SYSTEM
  ibrav = 0, nat = 4, ntyp = 3
/
ATOMIC_SPECIES
W 183.84 W.upf
Re 186.21 Re.upf
Cd 112.41 Cd.upf
CELL_PARAMETERS angstrom
-2.0042 1.0729 1.6802
-0.3695 -1.0412 2.6020
5.5902 6.4663 4.9168
ATOMIC_POSITIONS angstrom
W 0.0000 0.0000 0.0000
Re 1.6083 3.2490 4.5995
Cd 2.3924 4.8533 6.8884
Cd 0.8241 1.6447 2.3107
```

Summary:
As for the calculated volume: 16.825 Å³/atom. For the energy relative to the lowest polymorph listed for this composition, the calculation gives 57 meV per atom. The total moment comes out at 0.00 μB per atom. The electronic total energy comes out at -49.7043 eV per atom.



No. 3
Compound: Nb3PtAu
Source: Alexandria via LeMat-Bulk
Functional: meta-GGA SCAN
Structure: single point on PBEsol structure Values from VASP.

Structure (Quantum ESPRESSO input):
```
&SYSTEM
  ibrav = 0, nat = 5, ntyp = 3
/
ATOMIC_SPECIES
Nb 92.91 Nb.upf
Pt 195.08 Pt.upf
Au 196.97 Au.upf
CELL_PARAMETERS angstrom
-0.3441 4.3341 -2.0674
-3.7836 -1.5210 -2.5588
-2.9568 1.4420 3.5150
ATOMIC_POSITIONS angstrom
Nb -1.8918 -0.7605 -1.2794
Nb -0.1720 2.1670 -1.0337
Nb -1.4784 0.7210 1.7575
Pt 0.0000 0.0000 0.0000
Au -3.5422 2.1275 -0.5556
```

Summary:
As for the calculated volume: 22.316 Å³/atom. The total moment comes out at 0.00 μB per atom. The electronic total energy comes out at -46.8250 eV per atom.



No. 4
Compound: Rb3Ti4TlP4O20
Source: Alexandria via LeMat-Bulk
Functional: meta-GGA SCAN
Structure: single point on PBEsol structure Values from VASP.

Structure (Quantum ESPRESSO input):
```
&SYSTEM
  ibrav = 0, nat = 64, ntyp = 5
/
ATOMIC_SPECIES
O 16.00 O.upf
Rb 85.47 Rb.upf
Ti 47.87 Ti.upf
P 30.97 P.upf
Tl 204.38 Tl.upf
CELL_PARAMETERS angstrom
-1.8019 5.8456 -2.1856
-7.9741 0.1414 6.9521
7.7266 5.6302 8.7479
ATOMIC_POSITIONS angstrom
O -5.0966 1.7566 8.1403
Rb -4.1913 8.2796 10.0060
O 0.7973 5.7701 14.5176
Rb -7.8382 4.7097 5.8906
Rb 2.9156 6.9585 10.1289
O -4.4755 5.8760 0.4170
Ti -1.3580 5.9075 2.2494
P -0.4241 9.7335 7.1553
Rb 2.9460 4.7947 6.2001
O -3.6850 4.1921 5.3826
O -1.9919 4.6491 3.6140
O -1.8190 4.6066 10.0714
P -3.4127 4.9279 -0.1563
Ti -0.5941 5.7079 11.1802
O 3.4131 9.9370 5.4958
O -0.8258 8.2441 7.1815
Ti 0.0083 6.5452 7.8337
O 0.9428 4.5561 10.6726
O 4.9688 11.2068 7.3376
O 2.5201 3.3066 3.0691
O -3.2416 1.6407 6.0824
O -2.8771 6.9123 2.3041
O -2.0067 7.0026 11.5998
O -5.8698 2.4133 5.4644
O 1.7322 7.2737 7.6078
O -2.9920 3.5424 8.0748
O 0.6844 6.9211 12.2441
P 1.5288 6.6864 13.5265
O -2.0255 9.1446 12.9046
Tl -0.0101 9.2604 10.8237
O -2.2622 4.6877 0.8592
O -3.3299 2.5312 3.4923
Ti -4.7505 6.6194 2.3734
O -0.4042 7.0136 3.5946
Ti -4.4952 3.0123 6.7572
O 1.8597 5.8863 3.8968
P -2.6435 4.8810 8.7787
O 6.1780 6.7804 7.1851
P -3.3968 4.0261 3.8711
O 1.4352 8.0660 5.0102
P -2.4400 7.6582 12.9454
O 3.6520 9.2068 8.1969
O -4.8797 0.3725 4.3124
O -4.4749 4.7702 3.0577
O -3.9094 5.6760 9.1289
O -0.6228 7.0190 0.7762
O 1.1199 9.8947 7.0545
Rb -0.7362 3.3886 6.0178
P -5.4034 1.9506 9.6530
Tl -0.9969 2.3382 1.7820
O 3.9945 7.3832 6.0753
O -6.1179 7.0547 8.2719
O 0.2541 4.7875 1.9961
Rb -3.8991 6.8030 6.3585
Ti 2.5464 8.6031 6.6696
O 0.2233 5.9701 5.8125
O -5.5085 4.3740 7.4123
P 0.7585 6.7332 4.5925
O -0.8752 4.7350 12.6951
Ti -1.1929 5.0669 14.5360
O -0.1012 6.7906 9.5983
O 0.7439 4.6214 8.1411
O -1.7876 5.6933 7.7680
Ti -5.9523 5.1411 9.0762
```

Summary:
As for the calculated volume: 13.915 Å³/atom. The formation energy from raw total energies is -271.3 kJ/mol of atoms. The total moment comes out at 0.00 μB per atom. The electronic total energy comes out at -14.2155 eV per atom.



No. 5
Compound: NaTa3Pb
Source: Alexandria via LeMat-Bulk
Functional: meta-GGA SCAN
Structure: single point on PBEsol structure Values from VASP.

Structure (Quantum ESPRESSO input):
```
&SYSTEM
  ibrav = 0, nat = 5, ntyp = 3
/
ATOMIC_SPECIES
Ta 180.95 Ta.upf
Pb 207.20 Pb.upf
Na 22.99 Na.upf
CELL_PARAMETERS angstrom
4.6618 0.0000 0.0000
0.0000 4.6618 0.0000
0.0000 0.0000 4.6618
ATOMIC_POSITIONS angstrom
Ta 0.0000 2.3309 0.0000
Ta 2.3309 0.0000 0.0000
Ta 0.0000 0.0000 2.3309
Pb 2.3309 2.3309 2.3309
Na 0.0000 0.0000 0.0000
```

Summary:
As for the calculated volume: 20.262 Å³/atom. The total moment comes out at 0.00 μB per atom. The electronic total energy comes out at -53.7695 eV per atom.



No. 6
Compound: KNaTe
Source: Alexandria via LeMat-Bulk
Functional: meta-GGA SCAN
Structure: single point on PBEsol structure Values from VASP.

Structure (Quantum ESPRESSO input):
```
&SYSTEM
  ibrav = 0, nat = 12, ntyp = 3
/
ATOMIC_SPECIES
Te 127.60 Te.upf
K 39.10 K.upf
Na 22.99 Na.upf
CELL_PARAMETERS angstrom
5.0667 0.0000 0.0000
0.0000 8.4708 0.0000
0.0000 0.0000 9.2643
ATOMIC_POSITIONS angstrom
Te 3.8000 6.1364 1.0095
K 1.2667 4.3595 2.9134
K 3.8000 8.3467 7.5456
Te 1.2667 2.3344 8.2548
Te 3.8000 1.9010 3.6226
K 3.8000 4.1113 6.3508
Na 1.2667 1.2381 5.3025
K 1.2667 0.1241 1.7187
Na 3.8000 7.2326 3.9617
Te 1.2667 6.5698 5.6416
Na 3.8000 2.9973 0.6704
Na 1.2667 5.4735 8.5939
```

Summary:
As for the calculated volume: 33.134 Å³/atom. The formation energy from raw total energies is -112.6 kJ/mol of atoms. The total moment comes out at 0.00 μB per atom. The electronic total energy comes out at -17.7649 eV per atom.



> Among the records above, which one has the highest calculated volume?

KNaTe